Run w
A relaxed TmMgZnPb crystal, computed with PBE.

**V**: 22.92 Å³ per atom
**Crystal system**: orthorhombic
**Symmetry**: Pmmm

POSCAR file:
```
TmMgZnPb
1.0
4.265 0.000 0.000
0.000 4.607 0.000
0.000 0.000 4.666
Tm Mg Zn Pb
1 1 1 1
Direct
0.000 0.000 0.000
0.000 0.500 0.500
0.500 0.000 0.500
0.500 0.500 0.000
```

---

Run x
A relaxed TmMgZnPb crystal, computed with PBE.

**V**: 23.43 Å³ per atom
**Crystal system**: cubic
**Symmetry**: F-43m

POSCAR file:
```
TmMgZnPb
1.0
0.000 3.605 3.605
3.605 0.000 3.605
3.605 3.605 0.000
Tm Mg Zn Pb
1 1 1 1
Direct
0.000 0.000 0.000
0.500 0.500 0.500
0.750 0.750 0.750
0.250 0.250 0.250
```

---

So which one is most stable? That would be run w, about 9.5 kJ/mol of atoms below the next structure.

---

Run w
A relaxed Mg2V2Pb crystal, computed with PBE.

**V**: 20.11 Å³ per atom
**Crystal system**: tetragonal
**Symmetry**: P4/mbm

POSCAR file:
```
Mg2V2Pb
1.0
6.989 0.000 0.000
0.000 6.989 0.000
0.000 0.000 4.116
Mg V Pb
4 4 2
Direct
0.186 0.314 0.000
0.314 0.814 0.000
0.686 0.186 0.000
0.814 0.686 0.000
0.097 0.597 0.500
0.403 0.097 0.500
0.597 0.903 0.500
0.903 0.403 0.500
0.000 0.000 0.500
0.500 0.500 0.500
```

---

Run x
A relaxed Mg2V2Pb crystal, computed with PBE.

**V**: 20.77 Å³ per atom
**Crystal system**: tetragonal
**Symmetry**: I4/mmm

POSCAR file:
```
Mg2V2Pb
1.0
-2.016 2.016 6.385
2.016 -2.016 6.385
2.016 2.016 -6.385
Mg V Pb
2 2 1
Direct
0.250 0.750 0.500
0.750 0.250 0.500
0.075 0.075 0.000
0.925 0.925 0.000
0.500 0.500 0.000
```

---

So which one is most stable? That would be run w, about 18.8 kJ/mol of atoms below the next structure.

---

Run w
A relaxed MgVPb3 crystal, computed with PBE.

**V**: 32.43 Å³ per atom
**Crystal system**: cubic
**Symmetry**: Pm-3m

POSCAR file:
```
MgVPb3
1.0
5.453 0.000 0.000
0.000 5.453 0.000
0.000 0.000 5.453
Mg V Pb
1 1 3
Direct
0.000 0.000 0.000
0.500 0.500 0.500
0.000 0.000 0.500
0.000 0.500 0.000
0.500 0.000 0.000
```

---

Run x
A relaxed MgVPb3 crystal, computed with PBE.

**V**: 30.44 Å³ per atom
**Crystal system**: cubic
**Symmetry**: Pm-3m

POSCAR file:
```
MgVPb3
1.0
5.339 0.000 0.000
0.000 5.339 0.000
0.000 0.000 5.339
Mg V Pb
1 1 3
Direct
0.000 0.000 0.000
0.500 0.500 0.500
0.000 0.500 0.500
0.500 0.000 0.500
0.500 0.500 0.000
```

---

So which one is most stable? That would be run x, about 51.3 kJ/mol of atoms below the next structure.

---

Run w
A relaxed MgPbW2 crystal, computed with PBE.

**V**: 19.67 Å³ per atom
**Crystal system**: orthorhombic
**Symmetry**: Pmmm

POSCAR file:
```
MgPbW2
1.0
2.872 0.000 0.000
0.000 4.574 0.000
0.000 0.000 5.989
Mg Pb W
1 1 2
Direct
0.000 0.000 0.000
0.000 0.000 0.500
0.500 0.500 0.206
0.500 0.500 0.794
```

---

Run x
A relaxed MgPbW2 crystal, computed with PBE.

**V**: 19.18 Å³ per atom
**Crystal system**: tetragonal
**Symmetry**: P4/mmm

POSCAR file:
```
MgPbW2
1.0
2.854 0.000 0.000
0.000 2.854 0.000
0.000 0.000 9.420
Mg Pb W
1 1 2
Direct
0.000 0.000 0.000
0.000 0.000 0.500
0.500 0.500 0.237
0.500 0.500 0.763
```

---

So which one is most stable? That would be run w, about 12.8 kJ/mol of atoms below the next structure.

---

Run w
A relaxed MgPbW2 crystal, computed with PBE.

**V**: 18.91 Å³ per atom
**Crystal system**: tetragonal
**Symmetry**: P4/mmm

POSCAR file:
```
MgPbW2
1.0
3.575 0.000 0.000
0.000 3.575 0.000
0.000 0.000 5.918
Mg Pb W
1 1 2
Direct
0.000 0.000 0.000
0.000 0.000 0.500
0.500 0.500 0.211
0.500 0.500 0.789
```

---

Run x
A relaxed MgPbW2 crystal, computed with PBE.

**V**: 19.03 Å³ per atom
**Crystal system**: trigonal
**Symmetry**: R-3m

POSCAR file:
```
MgPbW2
1.0
1.495 0.863 9.830
-1.495 0.863 9.830
0.000 -1.727 9.830
Mg Pb W
1 1 2
Direct
0.000 0.000 0.000
0.500 0.500 0.500
0.251 0.251 0.251
0.749 0.749 0.749
```

---

So which one is most stable? That would be run x, about 2.7 kJ/mol of atoms below the next structure.

---

Run w
A relaxed MgPb3W crystal, computed with PBE.

**V**: 31.40 Å³ per atom
**Crystal system**: cubic
**Symmetry**: Pm-3m

POSCAR file:
```
MgPb3W
1.0
5.395 0.000 0.000
0.000 5.395 0.000
0.000 0.000 5.395
Mg Pb W
1 3 1
Direct
0.000 0.000 0.000
0.000 0.000 0.500
0.000 0.500 0.000
0.500 0.000 0.000
0.500 0.500 0.500
```

---

Run x
A relaxed MgPb3W crystal, computed with PBE.

**V**: 32.33 Å³ per atom
**Crystal system**: cubic
**Symmetry**: Pm-3m

POSCAR file:
```
MgPb3W
1.0
5.447 0.000 0.000
0.000 5.447 0.000
0.000 0.000 5.447
Mg Pb W
1 3 1
Direct
0.000 0.000 0.000
0.000 0.500 0.500
0.500 0.000 0.500
0.500 0.500 0.000
0.500 0.500 0.500
```

---

So which one is most stable? That would be run x, about 79.4 kJ/mol of atoms below the next structure.